# PBE-GGA MnReMo2, relaxed
# - excess energy over the best structure of this formula in the dataset (eV/atom) = 0.027
# - N(E_F) (states/eV per cell) = 4.3
# - uncorrected energy (eV/atom) = -10.72
data_MnReMo2
_chemical_formula_sum 'Mn1 Re1 Mo2'
_space_group_name_H-M_alt 'P 4/m m m'
_space_group_IT_number 123
_space_group_name_Hall '-P 4 2'
_cell_length_a 4.3617
_cell_length_b 4.3617
_cell_length_c 3.1321
_cell_angle_alpha 90.00
_cell_angle_beta 90.00
_cell_angle_gamma 90.00
loop_
_atom_site_label
_atom_site_type_symbol
_atom_site_fract_x
_atom_site_fract_y
_atom_site_fract_z
Mn1 Mn 0.0000 0.0000 0.0000
Re1 Re 0.5000 0.5000 0.0000
Mo1 Mo 0.0000 0.5000 0.5000